Record 1
Ba2Mg6Cd9 after structural relaxation, computed with GGA-PBE.

```
Ba2Mg6Cd9
1.0
6.182 0.000 0.000
-3.091 5.354 0.000
0.000 0.000 14.532
Ba Mg Cd
2 6 9
Direct
0.000 0.000 0.167
0.000 0.000 0.833
0.333 0.667 0.165
0.333 0.667 0.500
0.333 0.667 0.835
0.667 0.333 0.165
0.667 0.333 0.500
0.667 0.333 0.835
0.000 0.500 0.000
0.000 0.500 0.333
0.000 0.500 0.667
0.500 0.000 0.000
0.500 0.000 0.333
0.500 0.000 0.667
0.500 0.500 0.000
0.500 0.500 0.333
0.500 0.500 0.667
```

Values from the calculation:
**Size of the total moment**: 0.000 μB per formula unit
**ΔH_f (0 K)**: -98 meV/atom
**Symmetry**: No. 191

---

Record 2
BaPuN2 after structural relaxation, computed with GGA-PBE.

```
BaPuN2
1.0
3.085 -1.783 0.000
3.085 1.783 0.000
-0.025 0.000 6.504
Ba Pu N
1 1 2
Direct
0.000 0.000 0.000
0.000 0.000 0.500
0.333 0.333 0.674
0.667 0.667 0.326
```

Values from the calculation:
**Size of the total moment**: 3.971 μB per formula unit
**Total energy**: -8.97 eV/atom
**Symmetry**: No. 12

---

Record 3
SCl4O after structural relaxation, computed with GGA-PBE.

```
SCl4O
1.0
-4.247 4.247 2.729
4.247 -4.247 2.729
4.247 4.247 -2.729
S Cl O
1 4 1
Direct
0.000 0.000 0.000
0.155 0.025 0.729
0.296 0.426 0.271
0.574 0.845 0.870
0.975 0.704 0.130
0.750 0.250 0.500
```

Values from the calculation:
**Size of the total moment**: 2.057 μB per formula unit
**Total energy**: -2.24 eV/atom
**Symmetry**: No. 82

---

Record 4
LaSm3Cd after structural relaxation, computed with GGA-PBE.

```
LaSm3Cd
1.0
5.824 -3.742 0.000
5.824 3.742 0.000
-2.901 0.000 7.715
La Sm Cd
2 6 2
Direct
0.059 0.059 0.234
0.941 0.941 0.766
0.090 0.590 0.360
0.410 0.910 0.640
0.438 0.438 0.755
0.562 0.562 0.245
0.590 0.090 0.360
0.910 0.410 0.640
0.260 0.260 0.000
0.740 0.740 0.000
```

Values from the calculation:
**Size of the total moment**: 0.000 μB per formula unit
**ΔH_f (0 K)**: -18 meV/atom
**Symmetry**: No. 12

---

Record 5
Cs3Tl5Cd2 after structural relaxation, computed with GGA-PBE.

```
Cs3Tl5Cd2
1.0
-6.620 7.910 3.954
6.620 -7.910 3.954
6.620 7.910 -3.954
Cs Tl Cd
6 10 4
Direct
0.118 0.733 0.851
0.250 0.250 0.000
0.382 0.233 0.614
0.618 0.767 0.386
0.750 0.750 0.000
0.882 0.267 0.149
0.003 0.250 0.753
0.131 0.380 0.511
0.250 0.750 0.500
0.369 0.880 0.249
0.497 0.250 0.247
0.503 0.750 0.753
0.631 0.120 0.751
0.750 0.250 0.500
0.869 0.620 0.489
0.997 0.750 0.247
0.159 0.153 0.312
0.341 0.653 0.994
0.659 0.347 0.006
0.841 0.847 0.688
```

Values from the calculation:
**Size of the total moment**: 0.000 μB per formula unit
**ΔH_f (0 K)**: -35 meV/atom
**Symmetry**: No. 72

---

Record 6
SrCoPt after structural relaxation, computed with GGA-PBE.

```
SrCoPt
1.0
0.000 3.395 3.395
3.395 0.000 3.395
3.395 3.395 0.000
Sr Co Pt
1 1 1
Direct
0.000 0.000 0.000
0.750 0.750 0.750
0.250 0.250 0.250
```

Values from the calculation:
**Size of the total moment**: 1.939 μB per formula unit
**ΔH_f (0 K)**: 887 meV/atom
**Symmetry**: No. 216

---

Record 7
Ti4Fe2Ir after structural relaxation, computed with GGA-PBE.

```
Ti4Fe2Ir
1.0
-2.987 2.987 2.990
2.987 -2.987 2.990
2.987 2.987 -2.990
Ti Fe Ir
4 2 1
Direct
0.000 0.000 0.500
0.000 0.500 0.000
0.500 0.000 0.000
0.500 0.500 0.500
0.000 0.500 0.500
0.500 0.000 0.500
0.000 0.000 0.000
```

Values from the calculation:
**Size of the total moment**: 0.000 μB per formula unit
**ΔH_f (0 K)**: -355 meV/atom
**Symmetry**: No. 139

---

Record 8
TbEuIr2 after structural relaxation, computed with GGA-PBE.

```
TbEuIr2
1.0
3.361 0.000 0.000
0.000 3.361 0.000
0.000 0.000 7.417
Tb Eu Ir
1 1 2
Direct
0.000 0.000 0.000
0.000 0.000 0.500
0.500 0.500 0.233
0.500 0.500 0.767
```

Values from the calculation:
**Size of the total moment**: 6.693 μB per formula unit
**ΔH_f (0 K)**: -494 meV/atom
**Symmetry**: No. 123

---

Record 9
Pm2BeRuO6 after structural relaxation, computed with GGA-PBE.

```
Pm2BeRuO6
1.0
5.373 0.000 0.000
0.000 5.512 0.000
-5.367 0.000 7.538
Pm Be Ru O
4 2 2 12
Direct
0.238 0.057 0.249
0.238 0.443 0.749
0.762 0.557 0.251
0.762 0.943 0.751
0.000 0.000 0.500
0.000 0.500 0.000
0.500 0.000 0.000
0.500 0.500 0.500
0.156 0.215 0.957
0.156 0.285 0.457
0.245 0.703 0.958
0.245 0.797 0.458
0.316 0.014 0.737
0.316 0.486 0.237
0.684 0.514 0.763
0.684 0.986 0.263
0.755 0.203 0.542
0.755 0.297 0.042
0.844 0.715 0.543
0.844 0.785 0.043
```

Values from the calculation:
**Size of the total moment**: 2.010 μB per formula unit
**Total energy**: -7.63 eV/atom
**Symmetry**: No. 14

---

Record 10
Zn2Cd2SnPd5 after structural relaxation, computed with GGA-PBE.

```
Zn2Cd2SnPd5
1.0
9.559 0.000 0.000
0.000 9.559 0.000
0.000 0.000 3.759
Zn Cd Sn Pd
4 4 2 10
Direct
0.127 0.373 0.000
0.373 0.873 0.000
0.627 0.127 0.000
0.873 0.627 0.000
0.170 0.670 0.000
0.330 0.170 0.000
0.670 0.830 0.000
0.830 0.330 0.000
0.000 0.000 0.000
0.500 0.500 0.000
0.000 0.500 0.500
0.086 0.195 0.500
0.195 0.914 0.500
0.305 0.414 0.500
0.414 0.695 0.500
0.500 0.000 0.500
0.586 0.305 0.500
0.695 0.586 0.500
0.805 0.086 0.500
0.914 0.805 0.500
```

Values from the calculation:
**Size of the total moment**: 0.000 μB per formula unit
**ΔH_f (0 K)**: -399 meV/atom
**Symmetry**: No. 127